Record 1
Computed, not measured: Sc2ZnCd at its PBEsol-relaxed geometry at the meta-GGA SCAN level of DFT.

Cell lengths 3.5002, 3.5002, 6.4868 Å; angles 90.00, 90.00, 90.00 degrees
Last column: nearest neighbours and their distance in Å.
Space group P4mm (No. 99)
One atom of each set of equivalent atoms:
Sc 0.0000 0.0000 0.0000 (multiplicity 1)  4 Cd 2.98, 4 Sc 3.07, 2 Zn 3.23-3.26
Sc 0.5000 0.5000 0.2797 (multiplicity 1)  4 Zn 2.87, 1 Cd 3.01, 4 Sc 3.07
Zn 0.0000 0.0000 0.5025 (multiplicity 1)  4 Sc 2.87, 4 Cd 2.93
Cd 0.5000 0.5000 0.7444 (multiplicity 1)  4 Zn 2.93, 5 Sc 2.98-3.01

Summary:
For the formation energy, the calculation gives -0.815 eV per formula unit.

---

Record 2
Computed, not measured: SrH2O2 at its PBEsol-relaxed geometry at the meta-GGA SCAN level of DFT.

Cell lengths 9.7942, 3.8737, 5.9161 Å; angles 90.00, 90.00, 90.00 degrees
Last column: nearest neighbours and their distance in Å.
Space group Pnma (No. 62)
One atom of each set of equivalent atoms:
Sr 0.1584 0.2500 0.1042 (multiplicity 4)  1 H 2.45, 7 O 2.52-2.71
H 0.0235 0.7500 0.3701 (multiplicity 4)  1 O 0.98
H 0.0950 0.7500 0.6771 (multiplicity 4)  1 O 1.00
O 0.1057 0.7500 0.8449 (multiplicity 4)  1 H 1.00
O 0.1234 0.7500 0.3794 (multiplicity 4)  1 H 0.98

Summary:
The value obtained for the final energy is -10.315 eV/atom.

---

Record 3
Computed, not measured: CaV2O5 at its PBEsol-relaxed geometry at the meta-GGA SCAN level of DFT.

Cell lengths 3.7349, 11.0319, 11.0464 Å; angles 90.00, 90.00, 90.00 degrees
Last column: nearest neighbours and their distance in Å.
Space group Cmcm (No. 63)
One atom of each set of equivalent atoms:
Ca 0.0000 0.1002 0.2500 (multiplicity 4)  6 O 2.23-2.49
V 0.0000 0.2037 0.5966 (multiplicity 8)  1 O 1.63
O 0.0000 0.0572 0.6171 (multiplicity 8)  1 V 1.63
O 0.0000 0.2413 0.0746 (multiplicity 8)  3 V 1.94-1.98
O 0.0000 0.2900 0.7500 (multiplicity 4)  2 V 1.94

Summary:
The calculation puts the energy above the most stable polymorph in this dataset at 68 meV/atom. The value obtained for the uncorrected formation energy is -2.8558 eV per atom.

---

Record 4
Computed, not measured: LiAgAu2 at its PBEsol-relaxed geometry at the meta-GGA SCAN level of DFT.

Cell lengths 2.8096, 4.1177, 5.5709 Å; angles 90.00, 90.00, 90.00 degrees
Last column: nearest neighbours and their distance in Å.
Space group Pmm2 (No. 25)
One atom of each set of equivalent atoms:
Li 0.0000 0.0000 0.0000 (multiplicity 1)  6 Au 2.76-2.81, 2 Li 2.81, 4 Ag 2.88
Ag 0.5000 0.5000 0.2592 (multiplicity 1)  6 Au 2.71-2.86, 2 Ag 2.81, 4 Li 2.88
Au 0.0000 0.0000 0.5039 (multiplicity 1)  2 Li 2.76-2.81, 6 Au 2.81-2.91, 4 Ag 2.84
Au 0.5000 0.5000 0.7722 (multiplicity 1)  2 Ag 2.71-2.86, 4 Li 2.80, 6 Au 2.81-2.91

Summary:
For the formation energy, the calculation gives -1.261 eV per formula unit. The calculation puts the energy above the most stable polymorph in this dataset at 60 meV/atom.

---

Record 5
Computed, not measured: Ba2As2Br at its PBEsol-relaxed geometry at the meta-GGA SCAN level of DFT.

Cell lengths 8.8145, 8.8145, 4.2641 Å; angles 90.00, 90.00, 90.00 degrees
Last column: nearest neighbours and their distance in Å.
Space group P4/mbm (No. 127)
One atom of each set of equivalent atoms:
Ba 0.1874 0.3126 0.0000 (multiplicity 4)  2 Br 3.21, 6 As 3.38-3.45
As 0.0951 0.5951 0.5000 (multiplicity 4)  1 As 2.37
Br 0.0000 0.0000 0.0000 (multiplicity 2)  4 Ba 3.21

Summary:
The value obtained for the uncorrected formation energy is -1.4290 eV per atom.

---

Record 6
Computed, not measured: SrCaFeP2O8 at its PBEsol-relaxed geometry at the meta-GGA SCAN level of DFT.

Cell lengths 5.6327, 6.7376, 9.4044 Å; angles 108.89, 103.29, 96.22 degrees
Last column: nearest neighbours and their distance in Å.
Space group P-1 (No. 2)
One atom of each set of equivalent atoms:
Sr 0.2149 0.1991 0.4343 (multiplicity 2)  7 O 2.51-2.80
Ca 0.4711 0.5841 0.8374 (multiplicity 2)  6 O 2.28-2.41
Fe 0.0942 0.8748 0.0498 (multiplicity 2)  5 O 1.98-2.12
P 0.1230 0.5856 0.2734 (multiplicity 2)  4 O 1.54-1.57
P 0.3567 0.0371 0.7921 (multiplicity 2)  4 O 1.52-1.58
O 0.0869 0.4050 0.1108 (multiplicity 2)  1 P 1.57
O 0.0909 0.4593 0.6574 (multiplicity 2)  1 P 1.54
O 0.1337 0.8026 0.2512 (multiplicity 2)  1 P 1.54
O 0.1470 0.9421 0.8526 (multiplicity 2)  1 P 1.58
O 0.2492 0.9985 0.6194 (multiplicity 2)  1 P 1.52
O 0.3743 0.5713 0.3765 (multiplicity 2)  1 P 1.55
O 0.4270 0.0892 0.1850 (multiplicity 2)  1 P 1.57
O 0.4622 0.2735 0.8983 (multiplicity 2)  1 P 1.54

Summary:
The value obtained for the uncorrected formation energy is -2.8048 eV per atom.

---

Per-record calculated volume, Å³/atom: 19.87 11.22 14.22 16.11 33.13 12.39